(1)
The following is a DFT calculation (PBE-GGA) of a geometry-optimized NdThNi2Ge2 structure.

Output
* formation enthalpy at 0 K: -0.745 eV per atom
* DFT total energy: -37.46 eV per cell
* total magnetization: 0.00 μB per formula unit

abc: 4.1736 4.1736 8.0929
angles: 90.00 90.00 120.00
Space group P-3m1 (No. 164)
Symmetry-distinct sites (fractional):
Nd  0.0000  0.0000  0.0000 (multiplicity 1)
Th  0.0000  0.0000  0.5000 (multiplicity 1)
Ni  0.3333  0.6667  0.7407 (multiplicity 2)
Ge  0.3333  0.6667  0.2499 (multiplicity 2)



(2)
The following is a DFT calculation (PBE-GGA) of a geometry-optimized Tb4MgIn5 structure.

Output
* formation enthalpy at 0 K: -0.405 eV per atom
* DFT total energy: -37.86 eV per cell
* total magnetization: 0.00 μB per formula unit

abc: 3.609 3.609 19.991
angles: 90.00 90.00 90.00
Space group P4/mmm (No. 123)
Symmetry-distinct sites (fractional):
Tb  0.000  0.000  0.104 (multiplicity 2)
Tb  0.000  0.000  0.313 (multiplicity 2)
Mg  0.000  0.000  0.500 (multiplicity 1)
In  0.500  0.500  0.000 (multiplicity 1)
In  0.500  0.500  0.208 (multiplicity 2)
In  0.500  0.500  0.415 (multiplicity 2)



(3)
The following is a DFT calculation (PBE-GGA) of a geometry-optimized KSe2Br structure.

Output
* DFT total energy: -12.48 eV per cell
* total magnetization: 0.00 μB per formula unit
* offset from the most stable computed form: 4 meV per atom

abc: 4.815 4.124 7.715
angles: 90.00 101.23 90.00
Space group Pm (No. 6)
Symmetry-distinct sites (fractional):
K  0.000  0.000  0.000 (multiplicity 1)
Se  0.097  0.500  0.556 (multiplicity 1)
Se  0.845  0.000  0.471 (multiplicity 1)
Br  0.514  0.500  0.045 (multiplicity 1)



(4)
The following is a DFT calculation (PBE-GGA) of a geometry-optimized Pm8PrY2 structure.

Output
* formation enthalpy at 0 K: 0.109 eV per atom
* DFT total energy: -109.03 eV per cell
* total magnetization: 0.00 μB per formula unit
* offset from the most stable computed form: 0 meV per atom

abc: 5.710 8.287 16.136
angles: 90.00 90.00 90.00
Space group Immm (No. 71)
Symmetry-distinct sites (fractional):
Pm  0.000  0.000  0.164 (multiplicity 4)
Pm  0.000  0.204  0.363 (multiplicity 8)
Pm  0.000  0.294  0.000 (multiplicity 4)
Pr  0.000  0.500  0.500 (multiplicity 2)
Y  0.000  0.500  0.200 (multiplicity 4)